! B2RuW PBE relaxed; values from VASP
! - D(E_F): 1.03 states/eV/atom
! - Total energy: -34.305 eV/cell
! - Relative energy among the computed polymorphs: 2.23 eV/f.u.
! - Space group: Fm-3m
! - Size of the total moment: 0.0 μB/cell
! - ΔH_f (0 K): 0.32 eV per atom
! - Volume: 10.48 A^3/atom
&SYSTEM
  ibrav = 0, nat = 4, ntyp = 3
/
ATOMIC_SPECIES
B 10.81 B.upf
Ru 101.07 Ru.upf
W 183.84 W.upf
CELL_PARAMETERS angstrom
0.0000 2.7573 2.7573
2.7573 0.0000 2.7573
2.7573 2.7573 0.0000
ATOMIC_POSITIONS crystal
B 0.2500 0.2500 0.2500
B 0.7500 0.7500 0.7500
Ru 0.0000 0.0000 0.0000
W 0.5000 0.5000 0.5000

=====

! B2Ru4W PBE relaxed; values from VASP
! - D(E_F): 0.73 states/eV/atom
! - Total energy: -62.467 eV/cell
! - Space group: Cmmm
! - Size of the total moment: 0.0 μB/cell
! - ΔH_f (0 K): 0.13 eV per atom
! - Volume: 12.25 A^3/atom
&SYSTEM
  ibrav = 0, nat = 7, ntyp = 3
/
ATOMIC_SPECIES
B 10.81 B.upf
Ru 101.07 Ru.upf
W 183.84 W.upf
CELL_PARAMETERS angstrom
1.8624 -6.1956 0.0000
1.8624 6.1956 0.0000
0.0000 0.0000 3.7158
ATOMIC_POSITIONS crystal
B 0.0701 0.9299 0.0000
B 0.9299 0.0701 0.0000
Ru 0.1697 0.8303 0.5000
Ru 0.3295 0.6705 0.0000
Ru 0.6705 0.3295 0.0000
Ru 0.8303 0.1697 0.5000
W 0.5000 0.5000 0.5000